(1)
{
  "formula": "DyHo2Tm2",
  "functional": "PBE-GGA",
  "state": "optimized geometry",
  "final_energy_ev_per_atom": -4.450,
  "crystal_system": "tetragonal",
  "formation_energy_ev_per_atom": 0.09,
  "de_polymorph_mev_per_atom": 67,
  "magnetic_moment_mub_per_cell": 0.000,
  "lattice_angstrom": [[-6.752, -3.153, -5.464], [-2.528, -5.980, 6.575], [-2.272, 2.477, 1.379]],
  "species": ["Ho", "Ho", "Dy", "Tm", "Dy", "Tm", "Ho", "Tm", "Tm", "Ho"],
  "frac_coords": [[0.327, 0.827, 0.500], [0.173, 0.327, 0.500], [0.000, 0.000, 0.000], [0.125, 0.625, 0.000], [0.500, 0.500, 0.000], [0.875, 0.375, 0.000], [0.673, 0.173, 0.500], [0.375, 0.125, 0.000], [0.625, 0.875, 0.000], [0.827, 0.673, 0.500]]
}

(2)
{
  "formula": "Dy2HoTm",
  "functional": "PBE-GGA",
  "state": "optimized geometry",
  "final_energy_ev_per_atom": -4.542,
  "crystal_system": "trigonal",
  "formation_energy_ev_per_atom": 0.02,
  "de_polymorph_mev_per_atom": 19,
  "magnetic_moment_mub_per_cell": 0.000,
  "lattice_angstrom": [[-0.549, 2.213, 2.678], [1.561, -0.570, 3.101], [9.304, 6.834, -1.432]],
  "species": ["Ho", "Dy", "Dy", "Tm"],
  "frac_coords": [[0.500, 0.500, 0.500], [0.750, 0.750, 0.751], [0.250, 0.250, 0.249], [0.000, 0.000, 0.000]]
}

(3)
{
  "formula": "Dy8HoTm4",
  "functional": "PBE-GGA",
  "state": "optimized geometry",
  "final_energy_ev_per_atom": -4.337,
  "crystal_system": "trigonal",
  "formation_energy_ev_per_atom": 0.22,
  "magnetic_moment_mub_per_cell": 0.000,
  "lattice_angstrom": [[6.322, 0.000, -3.411], [-4.081, 5.911, 0.000], [1.254, 0.867, 9.889]],
  "species": ["Dy", "Dy", "Tm", "Tm", "Dy", "Dy", "Tm", "Ho", "Dy", "Dy", "Dy", "Tm", "Dy"],
  "frac_coords": [[0.049, 0.800, 0.298], [0.951, 0.751, 0.702], [0.000, 0.000, 0.000], [0.500, 0.500, 0.000], [0.430, 0.215, 0.645], [0.049, 0.249, 0.298], [0.000, 0.500, 0.000], [0.000, 0.500, 0.500], [0.498, 0.249, 0.298], [0.951, 0.200, 0.702], [0.570, 0.785, 0.355], [0.500, 0.000, 0.000], [0.502, 0.751, 0.702]]
}

(4)
{
  "formula": "Dy4Ho8Tm3",
  "functional": "PBE-GGA",
  "state": "optimized geometry",
  "final_energy_ev_per_atom": -4.158,
  "crystal_system": "monoclinic",
  "formation_energy_ev_per_atom": 0.41,
  "de_polymorph_mev_per_atom": 262,
  "magnetic_moment_mub_per_cell": 0.000,
  "lattice_angstrom": [[6.656, -0.094, -0.135], [-3.200, 8.533, 1.119], [-3.200, -1.912, 8.391]],
  "species": ["Ho", "Ho", "Ho", "Ho", "Dy", "Tm", "Tm", "Tm", "Dy", "Ho", "Ho", "Dy", "Ho", "Dy", "Ho"],
  "frac_coords": [[0.003, 0.269, 0.269], [0.479, 0.734, 0.734], [0.500, 0.748, 0.252], [0.000, 0.360, 0.640], [0.500, 0.000, 0.000], [0.500, 0.500, 0.000], [0.500, 0.000, 0.500], [0.500, 0.500, 0.500], [0.000, 0.500, 0.000], [0.000, 0.640, 0.360], [0.997, 0.731, 0.731], [0.000, 0.000, 0.500], [0.521, 0.266, 0.266], [0.000, 0.000, 0.000], [0.500, 0.252, 0.748]]
}

(5)
{
  "formula": "Dy4Ho15Tm",
  "functional": "PBE-GGA",
  "state": "optimized geometry",
  "final_energy_ev_per_atom": -4.557,
  "crystal_system": "tetragonal",
  "formation_energy_ev_per_atom": 0.02,
  "magnetic_moment_mub_per_cell": 0.000,
  "lattice_angstrom": [[4.976, 0.000, 0.000], [0.000, 4.976, 0.000], [0.000, 0.000, 24.874]],
  "species": ["Dy", "Ho", "Ho", "Ho", "Dy", "Ho", "Ho", "Tm", "Ho", "Ho", "Dy", "Ho", "Ho", "Ho", "Dy", "Ho", "Ho", "Ho", "Ho", "Ho"],
  "frac_coords": [[0.000, 0.000, 0.200], [0.500, 0.000, 0.099], [0.000, 0.500, 0.500], [0.000, 0.500, 0.901], [0.000, 0.000, 0.400], [0.500, 0.000, 0.700], [0.500, 0.500, 0.600], [0.000, 0.000, 0.000], [0.000, 0.500, 0.099], [0.500, 0.500, 0.200], [0.000, 0.000, 0.800], [0.500, 0.000, 0.901], [0.500, 0.000, 0.300], [0.500, 0.000, 0.500], [0.000, 0.000, 0.600], [0.500, 0.500, 0.000], [0.000, 0.500, 0.300], [0.000, 0.500, 0.700], [0.500, 0.500, 0.800], [0.500, 0.500, 0.400]]
}

(6)
{
  "formula": "DyHo12Tm2",
  "functional": "PBE-GGA",
  "state": "optimized geometry",
  "final_energy_ev_per_atom": -4.490,
  "crystal_system": "monoclinic",
  "formation_energy_ev_per_atom": 0.08,
  "magnetic_moment_mub_per_cell": 0.000,
  "lattice_angstrom": [[6.500, -1.436, -0.253], [-1.436, 6.500, -0.253], [-0.106, -0.106, 23.224]],
  "species": ["Ho", "Ho", "Ho", "Tm", "Ho", "Ho", "Tm", "Ho", "Ho", "Ho", "Tm", "Ho", "Ho", "Ho", "Ho", "Dy", "Ho", "Dy", "Tm", "Ho", "Ho", "Ho", "Ho", "Ho", "Ho", "Ho", "Ho", "Ho", "Ho", "Ho"],
  "frac_coords": [[0.286, 0.786, 0.147], [0.580, 0.580, 0.322], [0.080, 0.080, 0.322], [0.071, 0.571, 0.285], [0.799, 0.799, 0.193], [0.639, 0.639, 0.558], [0.571, 0.071, 0.285], [0.361, 0.361, 0.442], [0.856, 0.356, 0.424], [0.214, 0.714, 0.853], [0.929, 0.429, 0.715], [0.482, 0.482, 0.933], [0.356, 0.856, 0.424], [0.714, 0.214, 0.853], [0.299, 0.299, 0.193], [0.500, 0.000, 0.000], [0.982, 0.982, 0.933], [0.000, 0.500, 0.000], [0.429, 0.929, 0.715], [0.861, 0.861, 0.442], [0.144, 0.644, 0.576], [0.644, 0.144, 0.576], [0.518, 0.518, 0.067], [0.701, 0.701, 0.807], [0.201, 0.201, 0.807], [0.018, 0.018, 0.067], [0.139, 0.139, 0.558], [0.420, 0.420, 0.678], [0.786, 0.286, 0.147], [0.920, 0.920, 0.678]]
}